Zr2Tl | GGA-PBEsol | optimized geometry

Summary:
* raw total energy: -6.5886 eV per atom
* crystal system: tetragonal
* ΔH_f (0 K): 348 meV/atom
* space-group type: P4/mmm

```
data_Zr2Tl
_symmetry_space_group_name_H-M 'P 1'
_symmetry_Int_Tables_number 1
_cell_length_a 3.993
_cell_length_b 4.362
_cell_length_c 4.362
_cell_angle_alpha 90.00
_cell_angle_beta 90.00
_cell_angle_gamma 90.00
loop_
_symmetry_equiv_pos_as_xyz
'x,y,z'
loop_
_atom_site_label
_atom_site_type_symbol
_atom_site_fract_x
_atom_site_fract_y
_atom_site_fract_z
_atom_site_occupancy
Zr1 Zr 0.500 0.500 0.000 1
Zr2 Zr 0.500 0.000 0.500 1
Tl1 Tl 0.000 0.000 0.000 1
```